[1]
Entry from Alexandria: crystalline CrSeO2F at its relaxed geometry (PBEsol).

Output
* uncorrected formation energy: -0.897 eV per atom
* M_tot: 2.57 μB per cell
* symmetry: P4/mmm

```
CrSeO2F
1.0
3.8151 0.0000 0.0000
0.0000 3.8151 0.0000
0.0000 0.0000 3.8067
Cr Se O F
1 1 2 1
Cartesian
0.0000 0.0000 0.0000
1.9076 1.9076 1.9034
0.0000 1.9076 0.0000
1.9076 0.0000 0.0000
0.0000 0.0000 1.9034
```

[2]
Entry from Alexandria: crystalline CrSeO2F at its relaxed geometry (PBEsol).

Output
* uncorrected formation energy: -0.297 eV per atom
* M_tot: 4.04 μB per cell
* symmetry: P4/mmm

```
CrSeO2F
1.0
3.6520 0.0000 0.0000
0.0000 3.6520 0.0000
0.0000 0.0000 5.0641
Cr Se O F
1 1 2 1
Cartesian
0.0000 0.0000 0.0000
0.0000 0.0000 2.5321
0.0000 1.8260 2.5321
1.8260 0.0000 2.5321
1.8260 1.8260 0.0000
```

[3]
Entry from Alexandria: crystalline CrSiOF2 at its relaxed geometry (PBEsol).

Output
* uncorrected formation energy: -1.221 eV per atom
* M_tot: 3.39 μB per cell
* symmetry: P4/mmm

```
CrSiOF2
1.0
3.9407 0.0000 0.0000
0.0000 3.9407 0.0000
0.0000 0.0000 3.8653
Cr Si O F
1 1 1 2
Cartesian
0.0000 0.0000 0.0000
1.9704 1.9704 1.9326
0.0000 0.0000 1.9326
0.0000 1.9704 0.0000
1.9704 0.0000 0.0000
```

[4]
Entry from Alexandria: crystalline CrSnO2F at its relaxed geometry (PBEsol).

Output
* uncorrected formation energy: -0.948 eV per atom
* M_tot: 4.80 μB per cell
* symmetry: P4/mmm

```
CrSnO2F
1.0
4.0269 0.0000 0.0000
0.0000 4.0269 0.0000
0.0000 0.0000 4.1830
Cr Sn O F
1 1 2 1
Cartesian
0.0000 0.0000 0.0000
2.0134 2.0134 2.0915
0.0000 2.0134 2.0915
2.0134 0.0000 2.0915
2.0134 2.0134 0.0000
```

[5]
Entry from Alexandria: crystalline CrSnOF2 at its relaxed geometry (PBEsol).

Output
* uncorrected formation energy: -1.021 eV per atom
* M_tot: 5.01 μB per cell
* symmetry: P4/mmm

```
CrSnOF2
1.0
4.3776 0.0000 0.0000
0.0000 4.3776 0.0000
0.0000 0.0000 4.0944
Cr Sn O F
1 1 1 2
Cartesian
0.0000 0.0000 0.0000
2.1888 2.1888 2.0472
2.1888 2.1888 0.0000
0.0000 2.1888 2.0472
2.1888 0.0000 2.0472
```

[6]
Entry from Alexandria: crystalline SrCrO2F at its relaxed geometry (PBEsol).

Output
* uncorrected formation energy: -0.713 eV per atom
* M_tot: 3.00 μB per cell
* symmetry: P4/mmm

```
SrCrO2F
1.0
4.5055 0.0000 0.0000
0.0000 4.5055 0.0000
0.0000 0.0000 4.4205
Sr Cr O F
1 1 2 1
Cartesian
0.0000 0.0000 0.0000
2.2527 2.2527 2.2102
0.0000 2.2527 0.0000
2.2527 0.0000 0.0000
0.0000 0.0000 2.2102
```

M_tot of number 6 (SrCrO2F)? 3.00 μB per cell

Among the records above, which one has the lowest uncorrected formation energy? CrSiOF2

The lowest M_tot belongs to which entry? number 1